No. 1
SbPdNO2 at its PBEsol-relaxed geometry. Source: Alexandria, functional meta-GGA SCAN.

Output
As for the electronic total energy: -90.22 eV/cell. As for the crystal system: tetragonal. The space group is P4/mmm. The calculation puts the formation energy (no corrections) at 0.313 eV per atom. The magnetic moment is 0.00 μB/cell.

abc: 3.893 3.932 3.932
angles: 90.00 90.00 90.00
Atoms (fractional coordinates):
Sb  0.500  0.500  0.500
O  0.000  0.000  0.500
O  0.000  0.500  0.000
Pd  0.000  0.000  0.000
N  0.500  0.000  0.000

***

No. 2
Li2CuAg at its PBEsol-relaxed geometry. Source: Alexandria, functional meta-GGA SCAN.

Output
As for the electronic total energy: -51.51 eV/cell. As for the crystal system: monoclinic. The space group is C2/m. The calculated formation energy is -41 meV/atom. The magnetic moment is 0.00 μB/cell.

abc: 2.729 4.686 4.669
angles: 100.84 90.00 106.93
Atoms (fractional coordinates):
Ag  0.500  0.000  0.000
Cu  0.000  0.000  0.500
Li  0.745  0.490  0.743
Li  0.255  0.510  0.257

***

No. 3
Zr2CdCo at its PBEsol-relaxed geometry. Source: Alexandria, functional meta-GGA SCAN.

Output
As for the electronic total energy: -109.27 eV/cell. As for the crystal system: orthorhombic. The space group is Amm2. The calculated formation energy is -39 meV/atom. The magnetic moment is 0.00 μB/cell.

abc: 3.296 4.190 5.643
angles: 90.00 106.98 90.00
Atoms (fractional coordinates):
Cd  0.821  0.000  0.642
Co  0.654  0.500  0.308
Zr  0.101  0.000  0.202
Zr  0.427  0.500  0.854

***

No. 4
KCr2Cl at its PBEsol-relaxed geometry. Source: Alexandria, functional meta-GGA SCAN.

Output
As for the electronic total energy: -52.94 eV/cell. As for the crystal system: orthorhombic. The space group is Imm2. The calculation puts the formation energy (no corrections) at 0.034 eV per atom. The magnetic moment is 0.43 μB/cell.

abc: 3.112 6.215 6.215
angles: 63.00 75.50 75.50
Each line ends with the local moment (μB).
Atoms (fractional coordinates):
Cr  0.010  0.990  0.990  -3.64
Cr  0.333  0.167  0.167  3.80
K  0.458  0.542  0.542  0.01
Cl  0.700  0.800  0.800  0.00

***

No. 5
CaHO2F at its PBEsol-relaxed geometry. Source: Alexandria, functional meta-GGA SCAN.

Output
As for the electronic total energy: -32.22 eV/cell. As for the crystal system: tetragonal. The space group is P4/mmm. The magnetic moment is 4.00 μB/cell.

abc: 4.330 4.722 4.722
angles: 90.00 90.00 90.00
Each line ends with the local moment (μB).
Atoms (fractional coordinates):
H  0.500  0.500  0.500  0.38
Ca  0.000  0.000  0.000  -0.03
O  0.000  0.000  0.500  1.20
O  0.000  0.500  0.000  1.20
F  0.500  0.000  0.000  0.07

***

No. 6
Ta2MnTe at its PBEsol-relaxed geometry. Source: Alexandria, functional meta-GGA SCAN.

Output
As for the electronic total energy: -187.81 eV/cell. As for the crystal system: tetragonal. The space group is P4/mmm. The calculation puts the formation energy (no corrections) at 0.216 eV per atom. The magnetic moment is 1.82 μB/cell.

abc: 3.324 3.323 6.186
angles: 90.00 90.00 90.00
Each line ends with the local moment (μB).
Atoms (fractional coordinates):
Mn  0.500  0.500  0.500  2.54
Ta  0.000  0.000  0.720  -0.31
Ta  0.000  0.000  0.280  -0.31
Te  0.500  0.500  0.000  0.03

***

No. 7
BeHgW2 at its PBEsol-relaxed geometry. Source: Alexandria, functional meta-GGA SCAN.

Output
As for the electronic total energy: -209.08 eV/cell. As for the crystal system: orthorhombic. The space group is Cmmm. The calculated formation energy is 703 meV/atom. The magnetic moment is 0.00 μB/cell.

abc: 2.721 5.019 5.019
angles: 116.76 90.00 90.00
Atoms (fractional coordinates):
Be  0.500  0.000  0.000
Hg  0.500  0.500  0.500
W  0.000  0.500  0.000
W  0.000  0.000  0.500

***

No. 8
ZnTc2P2 at its PBEsol-relaxed geometry. Source: Alexandria, functional meta-GGA SCAN.

Output
As for the electronic total energy: -105.57 eV/cell. As for the crystal system: tetragonal. The space group is I4/mmm. The calculated formation energy is -227 meV/atom. The magnetic moment is 0.00 μB/cell.

abc: 3.414 3.414 6.479
angles: 105.27 105.27 90.00
Atoms (fractional coordinates):
P  0.250  0.750  0.500
P  0.750  0.250  0.500
Zn  0.000  0.000  0.000
Tc  0.381  0.381  0.763
Tc  0.619  0.619  0.237